(1)
Density functional theory data (PBE) for a geometry-optimized AcTb4Sm structure.

a b c (Å): 9.5041 9.5041 9.5041
angles (deg): 90.00 90.00 90.00
Space group F-43m (No. 216)
One atom of each set of equivalent atoms:
Ac 0.0000 0.0000 0.0000 (multiplicity 4)
Tb 0.1240 0.1240 0.6240 (multiplicity 16)
Sm 0.2500 0.2500 0.2500 (multiplicity 4)

Calculated values
The total energy comes out at -4.2907 eV/atom. As for the total magnetization: 4.79 Bohr magnetons per cell. Its formation enthalpy at 0 K is 0.27 eV/atom.



(2)
Density functional theory data (PBE) for a geometry-optimized Ac3Tb6Sm2 structure.

a b c (Å): 6.1445 11.7654 11.2681
angles (deg): 90.00 98.49 90.00
Space group C2/m (No. 12)
One atom of each set of equivalent atoms:
Ac 0.0000 0.0000 0.0000 (multiplicity 2)
Ac 0.0000 0.3283 0.0000 (multiplicity 4)
Tb 0.0647 0.1561 0.7075 (multiplicity 8)
Tb 0.0819 0.5000 0.7566 (multiplicity 4)
Sm 0.0000 0.3600 0.5000 (multiplicity 4)

Calculated values
The total energy comes out at -4.3031 eV/atom. As for the total magnetization: 0.00 Bohr magnetons per cell. Its formation enthalpy at 0 K is 0.20 eV/atom.